[1]
Density functional theory data (PBE-GGA) for PmSc5Ga3 after structural relaxation.

For the density, the calculation gives 4.9 g cm⁻³. As for the total energy: -5.493 eV per atom. The density of states at the Fermi level is 18.89 states/eV per cell.

It has space group P6_3/mcm (No. 193), with a = 8.5009 Å, b = 8.5009 Å, c = 6.2146 Å, α = 90.00°, β = 90.00° and γ = 120.00°. Symmetry generates all atoms from Pm at (0.0000, 0.0000, 0.0000), Sc at (0.0000, 0.3353, 0.2500), Sc at (0.3333, 0.6667, 0.0000) and Ga at (0.0000, 0.3416, 0.7500).

[2]
Density functional theory data (PBE-GGA) for Nd4Bi2H after structural relaxation.

For the density, the calculation gives 8.3 g cm⁻³. The value obtained for the distance to the lowest polymorph of the same formula is 0.029 eV per atom. As for the total energy: -4.964 eV per atom. The density of states at the Fermi level is 12.88 states/eV per cell.

It has space group P2_1/m (No. 11), with a = 6.568 Å, b = 6.652 Å, c = 9.615 Å, α = 90.00°, β = 108.42° and γ = 90.00°. Symmetry generates all atoms from Nd at (0.037, 0.000, 0.300), Nd at (0.359, 0.250, 0.055), Nd at (0.435, 0.250, 0.661), Bi at (0.190, 0.750, 0.026), Bi at (0.355, 0.750, 0.603) and H at (0.209, 0.250, 0.802).

[3]
Density functional theory data (PBE-GGA) for ScW5 after structural relaxation.

For the density, the calculation gives 16.0 g cm⁻³. The value obtained for the distance to the lowest polymorph of the same formula is 0.000 eV per atom. As for the total energy: -11.712 eV per atom. The density of states at the Fermi level is 11.10 states/eV per cell.

It has space group Cmmm (No. 65), with a = 4.596 Å, b = 13.695 Å, c = 3.172 Å, α = 90.00°, β = 90.00° and γ = 90.00°. Symmetry generates all atoms from Sc at (0.000, 0.000, 0.000), W at (0.000, 0.173, 0.500), W at (0.000, 0.334, 0.000) and W at (0.000, 0.500, 0.500).

[4]
Density functional theory data (PBE-GGA) for BaSbPt3 after structural relaxation.

For the density, the calculation gives 10.6 g cm⁻³. The value obtained for the formation energy without anion corrections is -0.2504 eV per atom. The value obtained for the distance to the lowest polymorph of the same formula is 0.215 eV per atom. As for the total energy: -5.084 eV per atom. The density of states at the Fermi level is 2.49 states/eV per cell.

It has space group Pm-3m (No. 221), with a = 5.097 Å, b = 5.097 Å, c = 5.097 Å, α = 90.00°, β = 90.00° and γ = 90.00°. Symmetry generates all atoms from Ba at (0.000, 0.000, 0.000), Sb at (0.500, 0.500, 0.500) and Pt at (0.000, 0.500, 0.500).

[5]
Density functional theory data (PBE-GGA) for CaAc2SiO6 after structural relaxation.

For the density, the calculation gives 7.1 g cm⁻³. The value obtained for the formation energy without anion corrections is -3.0788 eV per atom. As for the total energy: -7.618 eV per atom. The density of states at the Fermi level is 0.00 states/eV per cell.

It has space group P4mm (No. 99), with a = 5.570 Å, b = 5.570 Å, c = 4.635 Å, α = 90.00°, β = 90.00° and γ = 90.00°. Symmetry generates all atoms from Ca at (0.000, 0.000, 0.000), Ac at (0.000, 0.500, 0.446), Si at (0.500, 0.500, 0.003), O at (0.000, 0.000, 0.520), O at (0.282, 0.282, 0.098) and O at (0.500, 0.500, 0.639).

[6]
Density functional theory data (PBE-GGA) for Tb3GaSi2 after structural relaxation.

For the density, the calculation gives 7.3 g cm⁻³. The value obtained for the formation energy without anion corrections is -0.6868 eV per atom. The value obtained for the distance to the lowest polymorph of the same formula is 0.000 eV per atom. As for the total energy: -5.314 eV per atom. The density of states at the Fermi level is 13.79 states/eV per cell.

It has space group Pnma (No. 62), with a = 11.540 Å, b = 4.137 Å, c = 11.560 Å, α = 90.00°, β = 90.00° and γ = 90.00°. Symmetry generates all atoms from Tb at (0.056, 0.250, 0.120), Tb at (0.125, 0.750, 0.562), Tb at (0.200, 0.250, 0.802), Ga at (0.135, 0.250, 0.366), Si at (0.020, 0.750, 0.315) and Si at (0.188, 0.750, 0.997).

[7]
Density functional theory data (PBE-GGA) for PrU2As3 after structural relaxation.

For the density, the calculation gives 9.1 g cm⁻³. As for the total energy: -7.835 eV per atom. The density of states at the Fermi level is 26.12 states/eV per cell.

It has space group I4/mmm (No. 139), with a = 4.165 Å, b = 4.165 Å, c = 17.634 Å, α = 90.00°, β = 90.00° and γ = 90.00°. Symmetry generates all atoms from Pr at (0.000, 0.000, 0.000), U at (0.000, 0.000, 0.333), As at (0.000, 0.000, 0.170) and As at (0.000, 0.000, 0.500).

[8]
Density functional theory data (PBE-GGA) for TaNbSi2 after structural relaxation.

For the density, the calculation gives 5.7 g cm⁻³. The value obtained for the formation energy without anion corrections is 0.9494 eV per atom. The value obtained for the distance to the lowest polymorph of the same formula is 1.089 eV per atom. As for the total energy: -7.243 eV per atom. The density of states at the Fermi level is 15.14 states/eV per cell.

It has space group I-42d (No. 122), with a = 5.792 Å, b = 5.792 Å, c = 11.438 Å, α = 90.00°, β = 90.00° and γ = 90.00°. Symmetry generates all atoms from Ta at (0.000, 0.000, 0.000), Nb at (0.000, 0.000, 0.500) and Si at (0.249, 0.250, 0.125).